Entry 1:
4
Lattice="-0.301 3.641 3.013 -0.930 -0.784 4.577 3.378 0.668 3.251" Properties=species:S:1:pos:R:3 comment="TbLuIr2, optimized geometry, DFT GGA-PBEsol" sg="Fm-3m, No. 225" delta_e_f_ev_per_atom=-0.841 energy_ev_per_cell=-32.89 pbc="T T T"
Ir 1.610 2.644 8.131
Tb 0.000 0.000 0.000
Ir 0.537 0.881 2.710
Lu 1.073 1.763 5.421

Entry 2:
11
Lattice="-1.050 -0.993 -3.932 -3.223 -2.578 -0.720 -14.203 14.974 -2.222" Properties=species:S:1:pos:R:3 comment="Ge3Sb2Te6, optimized geometry, DFT GGA-PBEsol" sg="R3m, No. 160" energy_ev_per_cell=-46.04 pbc="T T T"
Te -7.023 5.892 -1.845
Ge -11.002 7.934 -3.529
Ge -7.570 3.592 -3.349
Sb -3.800 1.814 -1.675
Te -14.421 12.258 -3.709
Te -3.971 -0.960 -3.160
Te -7.734 0.807 -4.833
Te -11.551 5.635 -5.034
Te -10.863 10.749 -2.046
Sb -14.099 14.842 -2.216
Ge -14.605 9.499 -5.194

Entry 3:
5
Lattice="-2.848 -2.893 2.287 3.542 -2.952 0.677 1.028 2.152 4.003" Properties=species:S:1:pos:R:3 comment="BeSi3As, optimized geometry, DFT GGA-PBEsol" sg="Pm-3m, No. 221" energy_ev_per_cell=-19.37 pbc="T T T"
Be 0.861 -1.846 3.484
Si -1.424 -1.447 1.144
Si 1.771 -1.476 0.339
As 0.000 0.000 0.000
Si 0.514 1.076 2.002

Entry 4:
4
Lattice="3.952 0.000 0.000 0.000 3.952 0.000 0.000 0.000 6.923" Properties=species:S:1:pos:R:3 comment="CaIn2Pb, optimized geometry, DFT GGA-PBEsol" sg="P4mm, No. 99" delta_e_f_ev_per_atom=-0.267 energy_ev_per_cell=-13.16 pbc="T T T"
In 0.000 0.000 0.168
Ca 1.976 1.976 5.222
In 1.976 1.976 1.675
Pb 0.000 0.000 3.320

Entry 5:
4
Lattice="3.961 0.000 0.006 0.000 5.901 0.000 -0.009 0.000 5.909" Properties=species:S:1:pos:R:3 comment="Ba2CuPb, optimized geometry, DFT GGA-PBEsol" sg="Pmm2, No. 25" delta_e_f_ev_per_atom=-0.168 energy_ev_per_cell=-13.30 pbc="T T T"
Cu 1.484 0.000 2.290
Ba 3.462 2.951 2.186
Pb 1.477 2.951 5.121
Ba 3.457 0.000 5.190

Entry 6:
6
Lattice="2.663 0.000 0.000 0.000 2.663 0.000 0.000 0.000 11.324" Properties=species:S:1:pos:R:3 comment="RuRh5, optimized geometry, DFT GGA-PBEsol" sg="P4/mmm, No. 123" delta_e_f_ev_per_atom=0.007 energy_ev_per_cell=-50.82 relative_energy_ev_per_fu=0.00 pbc="T T T"
Rh 1.332 1.332 7.535
Rh 0.000 0.000 9.469
Rh 0.000 0.000 1.856
Rh 1.332 1.332 3.789
Rh 0.000 0.000 5.662
Ru 1.332 1.332 0.000

Entry 7:
4
Lattice="-1.239 -1.807 2.342 -0.383 -3.858 -3.179 6.549 0.954 2.006" Properties=species:S:1:pos:R:3 comment="ZrSb2Br, optimized geometry, DFT GGA-PBEsol" sg="Immm, No. 71" energy_ev_per_cell=-21.14 pbc="T T T"
Br -0.192 -1.929 -1.590
Zr -0.620 -0.903 1.171
Sb 2.533 -3.927 0.507
Sb 2.394 -0.784 0.662

Entry 8:
4
Lattice="4.430 -0.095 0.000 -1.097 4.292 0.000 0.000 0.000 4.411" Properties=species:S:1:pos:R:3 comment="MnSiTe2, optimized geometry, DFT GGA-PBEsol" sg="Amm2, No. 38" energy_ev_per_cell=-21.91 pbc="T T T"
Mn 1.428 2.289 0.000
Si 0.580 2.961 2.206
Te 2.697 1.280 2.206
Te -0.802 4.059 0.000

Entry 9:
8
Lattice="4.155 0.000 0.000 0.000 4.155 0.000 -2.077 -2.077 10.188" Properties=species:S:1:pos:R:3 comment="Hf2AlTe, optimized geometry, DFT GGA-PBEsol" sg="I-42d, No. 122" energy_ev_per_cell=-56.65 pbc="T T T"
Te 0.000 0.000 0.000
Hf -1.039 -1.017 7.641
Al 2.077 0.000 5.094
Hf 1.039 1.017 7.641
Hf 1.060 3.116 2.547
Al 2.077 2.077 0.000
Te 0.000 2.077 5.094
Hf 3.095 1.039 2.547

Entry 10:
4
Lattice="-3.541 -1.761 -2.552 -0.714 -4.650 -0.142 -3.745 -1.873 2.149" Properties=species:S:1:pos:R:3 comment="SrScBe2, optimized geometry, DFT GGA-PBEsol" sg="F-43m, No. 216" delta_e_f_ev_per_atom=0.699 energy_ev_per_cell=-13.65 relative_energy_ev_per_fu=0.98 pbc="T T T"
Sr -2.000 -2.071 -0.136
Be -6.000 -6.213 -0.408
Sc -4.000 -4.142 -0.272
Be 0.000 0.000 0.000

Entry 11:
4
Lattice="-1.368 4.146 -0.161 -2.594 -1.317 -3.260 -1.311 -2.385 4.721" Properties=species:S:1:pos:R:3 comment="TeIrBr2, optimized geometry, DFT GGA-PBEsol" sg="Fmmm, No. 69" energy_ev_per_cell=-14.34 pbc="T T T"
Te 0.000 0.000 0.000
Ir -1.981 1.415 -1.711
Br -1.340 0.881 2.280
Br -1.952 -1.851 0.730

Entry 12:
4
Lattice="2.916 0.000 0.000 0.000 2.916 0.000 0.000 0.000 6.604" Properties=species:S:1:pos:R:3 comment="BeCrAg2, optimized geometry, DFT GGA-PBEsol" sg="P4/mmm, No. 123" delta_e_f_ev_per_atom=0.399 energy_ev_per_cell=-19.27 pbc="T T T"
Ag 0.000 0.000 1.423
Cr 1.458 1.458 3.302
Be 1.458 1.458 0.000
Ag 0.000 0.000 5.181